{"formula": "CsMnB2Rh", "functional": "PBE", "state": "relaxed", "total_magnetization_mub_per_fu": 4.93, "ef_ev_per_fu": 16.486, "n_ef_per_ev_cell": 4.62, "energy_ha_per_atom": -0.1047, "lattice": [[4.572, 0.000, 0.000], [0.000, 4.572, 0.000], [0.000, 0.000, 5.275]], "species": ["Cs", "Mn", "B", "B", "Rh"], "frac_coords": [[0.000, 0.000, 0.000], [0.000, 0.000, 0.500], [0.000, 0.500, 0.000], [0.500, 0.000, 0.000], [0.500, 0.500, 0.500]]}



{"formula": "TaRhAu2", "functional": "PBE", "state": "relaxed", "total_magnetization_mub_per_fu": 0.00, "ef_ev_per_fu": 0.136, "n_ef_per_ev_cell": 3.11, "energy_ha_per_atom": -0.2354, "lattice": [[2.958, 0.000, 0.000], [0.000, 2.958, 0.000], [0.000, 0.000, 7.713]], "species": ["Ta", "Rh", "Au", "Au"], "frac_coords": [[0.000, 0.000, 0.000], [0.000, 0.000, 0.500], [0.500, 0.500, 0.252], [0.500, 0.500, 0.748]]}



{"formula": "CsNaCoC2", "functional": "PBE", "state": "relaxed", "total_magnetization_mub_per_fu": 2.05, "ef_ev_per_fu": 16.235, "n_ef_per_ev_cell": 3.98, "energy_ha_per_atom": -0.0845, "lattice": [[5.288, 0.000, 0.000], [0.000, 5.288, 0.000], [0.000, 0.000, 5.422]], "species": ["Cs", "Na", "Co", "C", "C"], "frac_coords": [[0.000, 0.000, 0.000], [0.500, 0.500, 0.500], [0.000, 0.000, 0.500], [0.000, 0.500, 0.000], [0.500, 0.000, 0.000]]}